The following is a GGA-PBE calculation of crystalline DyTmGeRh at its relaxed geometry, from the Alexandria database.

Cell: 4.9155 4.9155 4.9155 Å, 60.00 60.00 60.00°
With the nearest neighbours (Å) after each atom.
Fractional coordinates of all 4 atoms:
Ge (0.2500, 0.2500, 0.2500)  4 Dy 3.01, 4 Tm 3.01
Tm (0.5000, 0.5000, 0.5000)  4 Ge 3.01, 4 Rh 3.01
Rh (0.7500, 0.7500, 0.7500)  4 Dy 3.01, 4 Tm 3.01
Dy (0.0000, 0.0000, 0.0000)  4 Ge 3.01, 4 Rh 3.01

Values from the calculation:
Total magnetization   0.000 μB per formula unit
Formation energy   -0.752 eV per atom
Distance to the lowest polymorph of the same formula   48 kJ/mol of formula units

***

The following is a GGA-PBE calculation of crystalline KMnZn2 at its relaxed geometry, from the Alexandria database.

Cell: 10.0377 10.0377 10.0377 Å, 17.58 17.58 17.58°
With the nearest neighbours (Å) after each atom.
Fractional coordinates of all 4 atoms:
K (0.2500, 0.2500, 0.2500)  6 K 3.07
Mn (0.7500, 0.7500, 0.7500)  6 Zn 2.67
Zn (0.0161, 0.0161, 0.0161)  3 Mn 2.67
Zn (0.4839, 0.4839, 0.4839)  3 Mn 2.67

Values from the calculation:
Total magnetization   3.297 μB per formula unit
Formation energy   0.446 eV per atom
Distance to the lowest polymorph of the same formula   66 kJ/mol of formula units

***

The following is a GGA-PBE calculation of crystalline CeBeGaPt3 at its relaxed geometry, from the Alexandria database.

Cell: 5.5334 6.8928 6.7942 Å, 120.48 90.00 90.00°
With the nearest neighbours (Å) after each atom.
Fractional coordinates of all 12 atoms:
Ce (0.7500, 0.2922, 0.5844)  6 Pt 2.97-3.12, 2 Be 2.99, 1 Ga 3.14
Ce (0.2500, 0.7078, 0.4156)  6 Pt 2.97-3.12, 2 Be 2.99, 1 Ga 3.14
Be (0.2500, 0.3902, 0.7803)  5 Pt 2.23-2.34
Be (0.7500, 0.6098, 0.2197)  5 Pt 2.23-2.34
Ga (0.2500, 0.9756, 0.9513)  5 Pt 2.51-2.63
Ga (0.7500, 0.0244, 0.0487)  5 Pt 2.51-2.63
Pt (0.2500, 0.1998, 0.3996)  1 Be 2.23
Pt (0.0000, 0.3002, 0.0000)  2 Be 2.34, 2 Ga 2.51
Pt (0.5000, 0.6998, 0.0000)  2 Be 2.34, 2 Ga 2.51
Pt (0.5000, 0.3002, 0.0000)  2 Be 2.34, 2 Ga 2.51
Pt (0.0000, 0.6998, 0.0000)  2 Be 2.34, 2 Ga 2.51
Pt (0.7500, 0.8002, 0.6004)  1 Be 2.23

Values from the calculation:
Total magnetization   0.556 μB per formula unit
Formation energy   -0.698 eV per atom

***

The following is a GGA-PBE calculation of crystalline MgTl2Cd at its relaxed geometry, from the Alexandria database.

Cell: 4.5309 4.5309 11.4192 Å, 78.56 78.56 90.00°
With the nearest neighbours (Å) after each atom.
Fractional coordinates of all 8 atoms:
Tl (0.6230, 0.1250, 0.2500)  2 Mg 3.17, 2 Cd 3.18, 4 Tl 3.19-3.22
Tl (0.1270, 0.6250, 0.2500)  2 Mg 3.17, 2 Cd 3.18, 4 Tl 3.19-3.22
Tl (0.3750, 0.3770, 0.7500)  2 Mg 3.17, 2 Cd 3.18, 4 Tl 3.19-3.22
Tl (0.8750, 0.8730, 0.7500)  2 Mg 3.17, 2 Cd 3.18, 4 Tl 3.19-3.22
Mg (0.5000, 0.5000, 0.0000)  4 Tl 3.17, 4 Cd 3.20
Mg (0.2500, 0.7500, 0.5000)  4 Tl 3.17, 4 Cd 3.20
Cd (0.0000, 0.0000, 0.0000)  4 Tl 3.18, 4 Mg 3.20
Cd (0.7500, 0.2500, 0.5000)  4 Tl 3.18, 4 Mg 3.20

Values from the calculation:
Total magnetization   0.000 μB per formula unit
Formation energy   0.107 eV per atom
Distance to the lowest polymorph of the same formula   43 kJ/mol of formula units

***

The following is a GGA-PBE calculation of crystalline VSb2W at its relaxed geometry, from the Alexandria database.

Cell: 4.7078 4.7078 4.7078 Å, 60.00 60.00 60.00°
With the nearest neighbours (Å) after each atom.
Fractional coordinates of all 4 atoms:
Sb (0.2500, 0.2500, 0.2500)  4 W 2.88, 4 V 2.88
Sb (0.7500, 0.7500, 0.7500)  4 W 2.88, 4 V 2.88
W (0.5000, 0.5000, 0.5000)  8 Sb 2.88
V (0.0000, 0.0000, 0.0000)  8 Sb 2.88

Values from the calculation:
Total magnetization   1.737 μB per formula unit
Energy relative to the elements, uncorrected   0.376 eV/atom
Distance to the lowest polymorph of the same formula   0 kJ/mol of formula units

***

The following is a GGA-PBE calculation of crystalline ZnCr at its relaxed geometry, from the Alexandria database.

Cell: 7.5471 7.5471 4.1123 Å, 90.00 90.00 90.00°
With the nearest neighbours (Å) after each atom.
Fractional coordinates of all 16 atoms:
Zn (0.6972, 0.6298, 0.0000)  4 Zn 2.52-2.76, 4 Cr 2.52-2.73
Zn (0.1972, 0.8702, 0.5000)  4 Zn 2.52-2.76, 4 Cr 2.52-2.73
Zn (0.8028, 0.1298, 0.5000)  4 Zn 2.52-2.76, 4 Cr 2.52-2.73
Zn (0.3028, 0.3702, 0.0000)  4 Zn 2.52-2.76, 4 Cr 2.52-2.73
Zn (0.8702, 0.8028, 0.5000)  4 Zn 2.52-2.76, 4 Cr 2.52-2.73
Zn (0.3702, 0.6972, 0.0000)  4 Zn 2.52-2.76, 4 Cr 2.52-2.73
Zn (0.6298, 0.3028, 0.0000)  4 Zn 2.52-2.76, 4 Cr 2.52-2.73
Zn (0.1298, 0.1972, 0.5000)  4 Zn 2.52-2.76, 4 Cr 2.52-2.73
Cr (0.9590, 0.3615, 0.0000)  3 Cr 2.18-2.30
Cr (0.4590, 0.1385, 0.5000)  3 Cr 2.18-2.30
Cr (0.5410, 0.8615, 0.5000)  3 Cr 2.18-2.30
Cr (0.0410, 0.6385, 0.0000)  3 Cr 2.18-2.30
Cr (0.1385, 0.5410, 0.5000)  3 Cr 2.18-2.30
Cr (0.6385, 0.9590, 0.0000)  3 Cr 2.18-2.30
Cr (0.3615, 0.0410, 0.0000)  3 Cr 2.18-2.30
Cr (0.8615, 0.4590, 0.5000)  3 Cr 2.18-2.30

Values from the calculation:
Total magnetization   0.000 μB per formula unit
Formation energy   0.325 eV per atom

***

The following is a GGA-PBE calculation of crystalline TiPN3 at its relaxed geometry, from the Alexandria database.

Cell: 4.3592 4.3592 4.3592 Å, 79.62 79.62 79.62°
With the nearest neighbours (Å) after each atom.
Fractional coordinates of all 5 atoms:
P (0.4950, 0.4950, 0.4950)  3 N 1.56
N (0.6505, 0.1666, 0.6505)  1 P 1.56
N (0.1666, 0.6505, 0.6505)  1 P 1.56
N (0.6505, 0.6505, 0.1666)  1 P 1.56
Ti (0.9124, 0.9124, 0.9124)  3 N 1.84

Values from the calculation:
Total magnetization   0.000 μB per formula unit
Energy relative to the elements, uncorrected   -0.188 eV/atom

***

The following is a GGA-PBE calculation of crystalline Th2ZrBi at its relaxed geometry, from the Alexandria database.

Cell: 4.1422 4.1422 6.9827 Å, 90.00 90.00 90.00°
With the nearest neighbours (Å) after each atom.
Fractional coordinates of all 4 atoms:
Zr (0.5000, 0.5000, 0.5000)  8 Th 3.42, 2 Bi 3.49
Bi (0.5000, 0.5000, 0.0000)  8 Th 3.40, 2 Zr 3.49
Th (0.0000, 0.0000, 0.7533)  4 Bi 3.40, 4 Zr 3.42, 2 Th 3.45-3.54
Th (0.0000, 0.0000, 0.2467)  4 Bi 3.40, 4 Zr 3.42, 2 Th 3.45-3.54

Values from the calculation:
Total magnetization   1.517 μB per formula unit
Formation energy   -0.117 eV per atom
Distance to the lowest polymorph of the same formula   29 kJ/mol of formula units